--- w ---
## LaFeW2 (PBE-GGA)

Data for a relaxed structure of LaFeW2.

Unit cell a=2.8678 b=2.8678 c=9.3721 alpha=90.00 beta=90.00 gamma=111.45
With the nearest neighbours (Å) after each atom.
Positions (direct):
1 La 0.0000 0.0000 0.0000  4 La 2.87, 2 Fe 3.01
2 Fe 0.5000 0.5000 0.7292  2 W 2.51
3 W 0.0000 0.0000 0.5245  2 Fe 2.51, 2 W 2.68
4 W 0.5000 0.5000 0.2965  6 W 2.68-2.87

The symmetry is No. 35.

---

--- x ---
## LaFeW2 (PBE-GGA)

Data for a relaxed structure of LaFeW2.

Unit cell a=4.6547 b=4.6547 c=3.2665 alpha=90.00 beta=90.00 gamma=90.00
With the nearest neighbours (Å) after each atom.
Positions (direct):
1 La 0.0000 0.0000 0.0000  8 W 2.84
2 Fe 0.5000 0.5000 0.0000  8 W 2.84
3 W 0.0000 0.5000 0.5000  4 La 2.84, 4 Fe 2.84
4 W 0.5000 0.0000 0.5000  4 La 2.84, 4 Fe 2.84

The symmetry is No. 123.

---

Most stable structure - w; separation to the second - 54.2 kJ/mol of atoms.

---

--- w ---
## Sr2YCl (PBE-GGA)

Data for a relaxed structure of Sr2YCl.

Unit cell a=3.8799 b=3.8799 c=11.1202 alpha=90.00 beta=90.00 gamma=117.48
With the nearest neighbours (Å) after each atom.
Positions (direct):
1 Sr 0.0000 0.0000 0.0000  2 Y 3.65, 8 Sr 3.88-4.04
2 Sr 0.5000 0.5000 0.3155  2 Cl 3.12
3 Y 0.5000 0.5000 0.7259  2 Cl 2.97
4 Cl 0.0000 0.0000 0.5294  2 Y 2.97, 2 Sr 3.12

The symmetry is No. 35.

---

--- x ---
## Sr2YCl (PBE-GGA)

Data for a relaxed structure of Sr2YCl.

Unit cell a=4.0180 b=3.8315 c=10.3133 alpha=90.00 beta=90.39 gamma=90.00
With the nearest neighbours (Å) after each atom.
Positions (direct):
1 Sr 0.0048 0.0000 0.2701  2 Cl 3.05
2 Sr 0.9952 0.0000 0.7299  2 Cl 3.05
3 Y 0.5000 0.5000 0.0000  4 Y 3.83-4.02, 8 Sr 3.93
4 Cl 0.0000 0.5000 0.5000  4 Sr 3.05

The symmetry is No. 10.

---

Most stable structure - x; separation to the second - 13.0 kJ/mol of atoms.